Material: Nd2ScAs3Rh4
Method: DFT, PBE
State: relaxed

Results
- final energy (eV for the cell shown) = -69.13
- magnetic moment (μB/f.u.) = 0.0

a b c (Å): 4.1078 4.1078 11.1824
angles (deg): 90.00 90.00 90.00
Space group P-4m2 (No. 115)
Symmetry-distinct sites (fractional):
Nd 0.0000 0.5000 0.2307 [2 per cell]
Sc 0.0000 0.0000 0.5000 [1 per cell]
As 0.0000 0.5000 0.8675 [2 per cell]
As 0.5000 0.5000 0.5000 [1 per cell]
Rh 0.0000 0.0000 0.0000 [1 per cell]
Rh 0.0000 0.5000 0.6479 [2 per cell]
Rh 0.5000 0.5000 0.0000 [1 per cell]